Density functional theory data (PBE-GGA) for a relaxed structure of Mn5Ga2Si.

Formation energy without anion corrections ... -0.143 eV/atom
D(E_F) ... 10.3 states/eV per cell

Unit cell a=3.759 b=3.759 c=13.962 alpha=90.00 beta=90.00 gamma=90.00
Space group I4/mmm (No. 139)
Unique sites:
Mn 0.000 0.000 0.000 (multiplicity 2)
Mn 0.000 0.500 0.118 (multiplicity 8)
Ga 0.000 0.000 0.248 (multiplicity 4)
Si 0.000 0.000 0.500 (multiplicity 2)

Density functional theory data (PBE-GGA) for a relaxed structure of MnGa3Si.

Formation energy without anion corrections ... 0.531 eV/atom
D(E_F) ... 1.0 states/eV per cell

Unit cell a=4.574 b=4.574 c=4.574 alpha=90.00 beta=90.00 gamma=90.00
Space group Pm-3m (No. 221)
Unique sites:
Mn 0.000 0.000 0.000 (multiplicity 1)
Ga 0.000 0.000 0.500 (multiplicity 3)
Si 0.500 0.500 0.500 (multiplicity 1)

Density functional theory data (PBE-GGA) for a relaxed structure of MnGa2Si.

Formation energy without anion corrections ... 0.175 eV/atom
D(E_F) ... 11.1 states/eV per cell

Unit cell a=9.061 b=9.061 c=4.353 alpha=90.00 beta=90.00 gamma=90.00
Space group I4_1/amd (No. 141, origin choice 2)
Unique sites:
Mn 0.000 0.250 0.375 (multiplicity 4)
Ga 0.000 0.000 0.500 (multiplicity 8)
Si 0.000 0.250 0.875 (multiplicity 4)

no.,total moment (μB per formula unit)
1,9.37
2,0.00
3,0.92